# SCAN CaLaPbO2, PBEsol geometry
data_CaLaPbO2
_chemical_formula_sum 'Ca1 La1 Pb1 O2'
_space_group_name_H-M_alt 'P 4/m m m'
_space_group_IT_number 123
_space_group_name_Hall '-P 4 2'
_cell_length_a 4.6465
_cell_length_b 4.6465
_cell_length_c 5.5207
_cell_angle_alpha 90.00
_cell_angle_beta 90.00
_cell_angle_gamma 90.00
loop_
_atom_site_label
_atom_site_fract_x
_atom_site_fract_y
_atom_site_fract_z
Ca1 0.0000 0.0000 0.0000
La1 0.5000 0.5000 0.0000
Pb1 0.0000 0.0000 0.5000
O1 0.0000 0.5000 0.5000
# Formation energy from raw total energies ... -0.029 eV per atom



# SCAN FePt2Cl, PBEsol geometry
data_FePt2Cl
_chemical_formula_sum 'Fe1 Pt2 Cl1'
_space_group_name_H-M_alt 'P 4/m m m'
_space_group_IT_number 123
_space_group_name_Hall '-P 4 2'
_cell_length_a 3.7079
_cell_length_b 3.7079
_cell_length_c 4.5338
_cell_angle_alpha 90.00
_cell_angle_beta 90.00
_cell_angle_gamma 90.00
loop_
_atom_site_label
_atom_site_fract_x
_atom_site_fract_y
_atom_site_fract_z
Fe1 0.0000 0.0000 0.0000
Pt1 0.0000 0.5000 0.5000
Cl1 0.5000 0.5000 0.0000
# Formation energy from raw total energies ... 0.485 eV per atom



# SCAN ScS3N, PBEsol geometry
data_ScS3N
_chemical_formula_sum 'Sc1 S3 N1'
_space_group_name_H-M_alt 'P m -3 m'
_space_group_IT_number 221
_space_group_name_Hall '-P 4 2 3'
_cell_length_a 4.9015
_cell_length_b 4.9015
_cell_length_c 4.9015
_cell_angle_alpha 90.00
_cell_angle_beta 90.00
_cell_angle_gamma 90.00
loop_
_atom_site_label
_atom_site_fract_x
_atom_site_fract_y
_atom_site_fract_z
Sc1 0.0000 0.0000 0.0000
S1 0.0000 0.0000 0.5000
N1 0.5000 0.5000 0.5000
# Formation energy from raw total energies ... 0.557 eV per atom



# SCAN CaInPb2, PBEsol geometry
data_CaInPb2
_chemical_formula_sum 'Ca3 In3 Pb6'
_space_group_name_H-M_alt 'R -3 m'
_space_group_IT_number 166
_space_group_name_Hall '-R 3 2"'
_cell_length_a 3.6966
_cell_length_b 3.6966
_cell_length_c 29.7157
_cell_angle_alpha 90.00
_cell_angle_beta 90.00
_cell_angle_gamma 120.00
loop_
_atom_site_label
_atom_site_fract_x
_atom_site_fract_y
_atom_site_fract_z
Ca1 0.0000 0.0000 0.0000
In1 0.0000 0.0000 0.5000
Pb1 0.0000 0.0000 0.2464
# Energy of formation from the pure elements ... -189 meV per atom



# SCAN RbMnCuAg2, PBEsol geometry
data_RbMnCuAg2
_chemical_formula_sum 'Rb1 Mn1 Cu1 Ag2'
_space_group_name_H-M_alt 'P 4/m m m'
_space_group_IT_number 123
_space_group_name_Hall '-P 4 2'
_cell_length_a 5.4493
_cell_length_b 5.4493
_cell_length_c 5.0447
_cell_angle_alpha 90.00
_cell_angle_beta 90.00
_cell_angle_gamma 90.00
loop_
_atom_site_label
_atom_site_fract_x
_atom_site_fract_y
_atom_site_fract_z
Rb1 0.0000 0.0000 0.0000
Mn1 0.5000 0.5000 0.5000
Cu1 0.0000 0.0000 0.5000
Ag1 0.0000 0.5000 0.0000
# Energy of formation from the pure elements ... 1708 meV per atom



# SCAN Li3AgN, PBEsol geometry
data_Li3AgN
_chemical_formula_sum 'Li3 Ag1 N1'
_space_group_name_H-M_alt 'P m -3 m'
_space_group_IT_number 221
_space_group_name_Hall '-P 4 2 3'
_cell_length_a 3.9358
_cell_length_b 3.9358
_cell_length_c 3.9358
_cell_angle_alpha 90.00
_cell_angle_beta 90.00
_cell_angle_gamma 90.00
loop_
_atom_site_label
_atom_site_fract_x
_atom_site_fract_y
_atom_site_fract_z
Li1 0.0000 0.0000 0.5000
Ag1 0.5000 0.5000 0.5000
N1 0.0000 0.0000 0.0000
# Formation energy from raw total energies ... -0.165 eV per atom



# SCAN InFeRu, PBEsol geometry
data_InFeRu
_chemical_formula_sum 'In4 Fe4 Ru4'
_space_group_name_H-M_alt 'F -4 3 m'
_space_group_IT_number 216
_space_group_name_Hall 'F -4 2 3'
_cell_length_a 5.9750
_cell_length_b 5.9750
_cell_length_c 5.9750
_cell_angle_alpha 90.00
_cell_angle_beta 90.00
_cell_angle_gamma 90.00
loop_
_atom_site_label
_atom_site_fract_x
_atom_site_fract_y
_atom_site_fract_z
In1 0.0000 0.0000 0.0000
Fe1 0.0000 0.0000 0.5000
Ru1 0.2500 0.2500 0.2500
# Energy of formation from the pure elements ... 448 meV per atom



# SCAN Mg2ReW, PBEsol geometry
data_Mg2ReW
_chemical_formula_sum 'Mg4 Re2 W2'
_space_group_name_H-M_alt 'C 1 m 1'
_space_group_IT_number 8
_cell_length_a 9.2093
_cell_length_b 2.6865
_cell_length_c 5.3060
_cell_angle_alpha 90.00
_cell_angle_beta 93.36
_cell_angle_gamma 90.00
loop_
_space_group_symop_operation_xyz
'x,y,z'
'x,-y,z'
'x+1/2,y+1/2,z'
'x+1/2,-y+1/2,z'
loop_
_atom_site_label
_atom_site_fract_x
_atom_site_fract_y
_atom_site_fract_z
Mg1 0.0000 0.0000 0.0000
Mg2 0.2438 0.0000 0.7632
Re1 0.9999 0.5000 0.4860
W1 0.2475 0.5000 0.2818
# Energy of formation from the pure elements ... 334 meV per atom



# SCAN AgPdAu2, PBEsol geometry
data_AgPdAu2
_chemical_formula_sum 'Ag4 Pd4 Au8'
_space_group_name_H-M_alt 'F m -3 m'
_space_group_IT_number 225
_space_group_name_Hall '-F 4 2 3'
_cell_length_a 6.3790
_cell_length_b 6.3790
_cell_length_c 6.3790
_cell_angle_alpha 90.00
_cell_angle_beta 90.00
_cell_angle_gamma 90.00
loop_
_atom_site_label
_atom_site_fract_x
_atom_site_fract_y
_atom_site_fract_z
Ag1 0.0000 0.0000 0.0000
Pd1 0.0000 0.0000 0.5000
Au1 0.2500 0.2500 0.2500
# Energy of formation from the pure elements ... -92 meV per atom



# SCAN Nb3Ni20B6, PBEsol geometry
data_Nb3Ni20B6
_chemical_formula_sum 'Nb12 Ni80 B24'
_space_group_name_H-M_alt 'F m -3 m'
_space_group_IT_number 225
_space_group_name_Hall '-F 4 2 3'
_cell_length_a 10.4787
_cell_length_b 10.4787
_cell_length_c 10.4787
_cell_angle_alpha 90.00
_cell_angle_beta 90.00
_cell_angle_gamma 90.00
loop_
_atom_site_label
_atom_site_fract_x
_atom_site_fract_y
_atom_site_fract_z
Nb1 0.0000 0.0000 0.0000
Nb2 0.2500 0.2500 0.2500
Ni1 0.0000 0.1719 0.1719
Ni2 0.1154 0.1154 0.3846
B1 0.0000 0.0000 0.2669
# Energy of formation from the pure elements ... -352 meV per atom



# SCAN CaMo2Br, PBEsol geometry
data_CaMo2Br
_chemical_formula_sum 'Ca2 Mo4 Br2'
_space_group_name_H-M_alt 'I m m 2'
_space_group_IT_number 44
_cell_length_a 3.2643
_cell_length_b 5.5751
_cell_length_c 9.4005
_cell_angle_alpha 90.00
_cell_angle_beta 90.00
_cell_angle_gamma 90.00
loop_
_space_group_symop_operation_xyz
'x,y,z'
'-x,-y,z'
'-x,y,z'
'x,-y,z'
'x+1/2,y+1/2,z+1/2'
'-x+1/2,-y+1/2,z+1/2'
'-x+1/2,y+1/2,z+1/2'
'x+1/2,-y+1/2,z+1/2'
loop_
_atom_site_label
_atom_site_fract_x
_atom_site_fract_y
_atom_site_fract_z
Ca1 0.0000 0.0000 0.0000
Mo1 0.0000 0.0000 0.4910
Mo2 0.0000 0.5000 0.8113
Br1 0.0000 0.5000 0.2324
# Formation energy from raw total energies ... 0.533 eV per atom



# SCAN LaSiP3, PBEsol geometry
data_LaSiP3
_chemical_formula_sum 'La8 Si8 P24'
_space_group_name_H-M_alt 'P b c a'
_space_group_IT_number 61
_cell_length_a 5.6427
_cell_length_b 25.4231
_cell_length_c 5.7153
_cell_angle_alpha 90.00
_cell_angle_beta 90.00
_cell_angle_gamma 90.00
loop_
_space_group_symop_operation_xyz
'x,y,z'
'-x,-y,-z'
'-x+1/2,-y,z+1/2'
'x+1/2,y,-z+1/2'
'x+1/2,-y+1/2,-z'
'-x+1/2,y+1/2,z'
'-x,y+1/2,-z+1/2'
'x,-y+1/2,z+1/2'
loop_
_atom_site_label
_atom_site_fract_x
_atom_site_fract_y
_atom_site_fract_z
La1 0.0006 0.0907 0.0009
Si1 0.0980 0.7072 0.0872
P1 0.0032 0.1265 0.5056
P2 0.0053 0.2116 0.0362
P3 0.2501 0.9998 0.2497
# Formation energy from raw total energies ... -0.743 eV per atom



| no. | final energy (eV per atom) | DOS(E_F) (states/eV per atom) | size of the total moment (μB/atom) |
| --- | --- | --- | --- |
| 1 | -28.23 | 0.82 | 0.26 |
| 2 | -41.14 | 1.02 | 1.09 |
| 3 | -9.93 | 0.43 | 0.00 |
| 4 | -48.84 | 0.58 | 0.00 |
| 5 | -21.68 | 0.45 | 0.90 |
| 6 | -9.73 | 0.38 | 0.00 |
| 7 | -28.33 | 1.05 | 1.28 |
| 8 | -37.35 | 0.42 | 0.00 |
| 9 | -50.71 | 0.29 | 0.00 |
| 10 | -16.47 | 0.66 | 0.00 |
| 11 | -24.19 | 0.83 | 0.00 |
| 12 | -17.61 | 0.27 | 0.00 |